# PaNiIO6 | Alexandria via LeMat-Bulk | GGA+U | relaxed
data_PaNiIO6
_space_group_name_H-M_alt 'P -3 1 c'
_space_group_IT_number 163
_space_group_name_Hall '-P 3 2c'
_cell_length_a 5.6336
_cell_length_b 5.6336
_cell_length_c 8.8539
_cell_angle_alpha 90.00
_cell_angle_beta 90.00
_cell_angle_gamma 120.00
loop_
_atom_site_label
_atom_site_type_symbol
_atom_site_fract_x
_atom_site_fract_y
_atom_site_fract_z
Pa1 Pa 0.3333 0.6667 0.2500
Ni1 Ni 0.0000 0.0000 0.0000
I1 I 0.3333 0.6667 0.7500
O1 O 0.0084 0.3396 0.6282
# - Calculated volume: 243.4 Å³ per cell
# - Mass density: 7.0 g/cm³
# - Raw total energy: -6.35 eV per atom